The following is a DFT calculation (PBE) of a geometry-optimized PmSbTe2O structure.

POSCAR file:
```
PmSbTe2O
1.0
4.204 0.000 0.000
0.000 4.204 0.000
0.000 0.000 15.806
Pm Sb Te O
2 2 4 2
Cartesian
1.051 1.051 1.105 Pm
3.153 3.153 14.701 Pm
1.051 1.051 10.113 Sb
3.153 3.153 5.694 Sb
1.051 1.051 6.342 Te
1.051 1.051 12.919 Te
3.153 3.153 2.888 Te
3.153 3.153 9.465 Te
1.051 3.153 0.000 O
3.153 1.051 0.000 O
```

Summary:
Total magnetization = 0.00 μB/f.u.
Total energy = -54.8 eV per cell

The following is a DFT calculation (PBE) of a geometry-optimized PmThSb2O8 structure.

POSCAR file:
```
PmThSb2O8
1.0
-3.740 3.740 3.513
3.740 -3.740 3.513
3.740 3.740 -3.513
Pm Th Sb O
1 1 2 8
Cartesian
0.000 0.000 0.000 Pm
0.000 3.740 1.756 Th
3.740 0.000 1.756 Sb
0.000 0.000 3.513 Sb
2.370 0.000 0.396 O
5.110 0.000 0.396 O
3.740 2.328 -1.392 O
3.740 -1.370 3.117 O
0.000 1.412 2.121 O
3.740 1.370 3.117 O
2.328 3.740 1.392 O
1.412 0.000 4.905 O
```

Summary:
Total magnetization = 0.00 μB/f.u.
Total energy = -87.7 eV per cell

Look up the total energy of the first one.
-54.8 eV per cell